(1)
# CsRb2BaPb

A relaxed CsRb2BaPb crystal (PBE, Alexandria).

total energy: -1.71 eV per atom
space group: P4/mmm
energy of formation from the pure elements: -25 meV per atom

Cell: 7.523 7.523 6.808 Å, 90.00 90.00 90.00°
Fractional coordinates of all 5 atoms:
Cs 0.000 0.000 0.000
Rb 0.000 0.500 0.500
Rb 0.500 0.000 0.500
Ba 0.500 0.500 0.000
Pb 0.500 0.500 0.500

***

(2)
# ThNpOs4

A relaxed ThNpOs4 crystal (PBE, Alexandria).

total energy: -10.99 eV per atom
space group: F-43m
energy of formation from the pure elements: -110 meV per atom

Cell: 5.397 5.397 5.397 Å, 60.00 60.00 60.00°
Fractional coordinates of all 6 atoms:
Th 0.000 0.000 0.000
Np 0.750 0.750 0.750
Os 0.376 0.376 0.376
Os 0.376 0.376 0.873
Os 0.376 0.873 0.376
Os 0.873 0.376 0.376

***

(3)
# KRbReF6

A relaxed KRbReF6 crystal (PBE, Alexandria).

total energy: -5.34 eV per atom
E_form (uncorrected): -22.29 eV per formula unit
space group: P-31c

Cell: 6.675 6.675 8.847 Å, 90.00 90.00 120.00°
Fractional coordinates of all 18 atoms:
K 0.000 0.000 0.000
K 0.000 0.000 0.500
Rb 0.333 0.667 0.250
Rb 0.667 0.333 0.750
Re 0.333 0.667 0.750
Re 0.667 0.333 0.250
F 0.090 0.412 0.626
F 0.090 0.678 0.874
F 0.322 0.412 0.874
F 0.322 0.910 0.626
F 0.412 0.090 0.126
F 0.412 0.322 0.374
F 0.588 0.678 0.626
F 0.588 0.910 0.874
F 0.678 0.090 0.374
F 0.678 0.588 0.126
F 0.910 0.322 0.126
F 0.910 0.588 0.374

***

(4)
# GaTc2RhF

A relaxed GaTc2RhF crystal (PBE, Alexandria).

total energy: -5.52 eV per atom
E_form (uncorrected): 5.37 eV per formula unit
space group: P4/mmm

Cell: 4.819 4.819 4.783 Å, 90.00 90.00 90.00°
Fractional coordinates of all 5 atoms:
Ga 0.000 0.000 0.000
Tc 0.000 0.500 0.500
Tc 0.500 0.000 0.500
Rh 0.000 0.000 0.500
F 0.500 0.500 0.000